Entry from OQMD via LeMat-Bulk: a geometry-optimized RbSrTa structure (GGA-PBE).

Values from the calculation:
The energy is -3.03 eV/atom. The total magnetization is 1.959 μB/atom.

abc: 5.9168 5.9168 5.9168
angles: 60.00 60.00 60.00
Sites, in units of the cell vectors:
Rb 0.2500 0.2500 0.2500
Sr 0.7500 0.7500 0.7500
Ta 0.0000 0.0000 0.0000

---

Entry from OQMD via LeMat-Bulk: a geometry-optimized ScFeBMo structure (GGA-PBE).

Values from the calculation:
The energy is -7.58 eV/atom. The total magnetization is 0.006 μB/atom.

abc: 4.1633 4.1633 4.1633
angles: 60.00 60.00 60.00
Sites, in units of the cell vectors:
B 0.0000 0.0000 0.0000
Fe 0.7500 0.7500 0.7500
Mo 0.5000 0.5000 0.5000
Sc 0.2500 0.2500 0.2500